No. 1
The following is a GGA-PBE calculation of an optimized crystal structure of Nd2SiI3, from the Alexandria database.

abc: 19.4229 4.7306 12.4814
angles: 90.00 124.77 90.00
With the nearest neighbours (Å) after each atom.
Space group C2/m (No. 12)
One atom of each set of equivalent atoms:
Nd (0.1046, 0.0000, 0.4284) (multiplicity 4)  2 Si 2.83-2.97
Nd (0.1320, 0.5000, 0.7814) (multiplicity 4)  2 Si 2.94, 1 I 3.28
Si (0.0546, 0.0000, 0.6134) (multiplicity 4)  1 Si 2.38
I (0.0407, 0.5000, 0.2180) (multiplicity 4)  3 Nd 3.21-3.36
I (0.1644, 0.0000, 0.9990) (multiplicity 4)  3 Nd 3.28-3.38
I (0.2313, 0.5000, 0.6215) (multiplicity 4)  4 Nd 3.27-3.58

E_form (uncorrected) = -1.051 eV per atom


No. 2
The following is a GGA-PBE calculation of an optimized crystal structure of Nd4SiI5, from the Alexandria database.

abc: 19.6359 4.3178 9.0990
angles: 90.00 102.74 90.00
With the nearest neighbours (Å) after each atom.
Space group C2/m (No. 12)
One atom of each set of equivalent atoms:
Nd (0.9997, 0.0000, 0.2134) (multiplicity 4)  2 Si 2.90, 1 I 3.22
Nd (0.1470, 0.5000, 0.0737) (multiplicity 4)  1 Si 2.82
Si (0.0000, 0.5000, 0.0000) (multiplicity 2)  6 Nd 2.82-2.90
I (0.0000, 0.5000, 0.5000) (multiplicity 2)  4 Nd 3.38
I (0.1665, 0.0000, 0.3367) (multiplicity 4)  3 Nd 3.18-3.22
I (0.1712, 0.0000, 0.8262) (multiplicity 4)  4 Nd 3.23-3.48

E_form (uncorrected) = -1.242 eV per atom


No. 3
The following is a GGA-PBE calculation of an optimized crystal structure of NdSiI, from the Alexandria database.

abc: 9.4265 4.9480 11.9780
angles: 90.00 113.03 90.00
With the nearest neighbours (Å) after each atom.
Space group C2/m (No. 12)
One atom of each set of equivalent atoms:
Nd (0.0737, 0.0000, 0.3707) (multiplicity 4)  4 Si 2.84-3.07, 1 I 3.16
Si (0.2492, 0.0000, 0.6247) (multiplicity 4)  1 I 2.66, 3 Nd 2.84-2.97
I (0.2477, 0.5000, 0.1523) (multiplicity 4)  1 Si 2.66

E_form (uncorrected) = -0.318 eV per atom


No. 4
The following is a GGA-PBE calculation of an optimized crystal structure of Nd2SiI, from the Alexandria database.

abc: 4.2867 4.2867 23.6547
angles: 90.00 90.00 120.00
With the nearest neighbours (Å) after each atom.
Space group R3m (No. 160, hexagonal axes)
One atom of each set of equivalent atoms:
Nd (0.0000, 0.0000, 0.0000) (multiplicity 3)  3 Si 2.91
Nd (0.0000, 0.0000, 0.2019) (multiplicity 3)  3 Si 2.93
Si (0.0000, 0.0000, 0.6019) (multiplicity 3)  6 Nd 2.91-2.93
I (0.0000, 0.0000, 0.4328) (multiplicity 3)  6 Nd 3.42-3.46

E_form (uncorrected) = -0.931 eV per atom
ΔE to the lowest computed polymorph = 1.9 kJ per mole of atoms


No. 5
The following is a GGA-PBE calculation of an optimized crystal structure of Nd4Si2I3, from the Alexandria database.

abc: 7.5227 4.3428 19.1822
angles: 90.00 90.05 90.00
With the nearest neighbours (Å) after each atom.
Space group C2/m (No. 12)
One atom of each set of equivalent atoms:
Nd (0.0007, 0.0000, 0.2859) (multiplicity 4)  3 Si 3.01, 3 I 3.24
Nd (0.1664, 0.5000, 0.8792) (multiplicity 4)  3 Si 2.92
Si (0.1671, 0.5000, 0.1993) (multiplicity 4)  6 Nd 2.92-3.01
I (0.0000, 0.0000, 0.0000) (multiplicity 2)  6 Nd 3.41
I (0.1657, 0.5000, 0.6067) (multiplicity 4)  3 Nd 3.24

E_form (uncorrected) = -1.062 eV per atom
ΔE to the lowest computed polymorph = 0.0 kJ per mole of atoms


No. 6
The following is a GGA-PBE calculation of an optimized crystal structure of Nd5Si2I2, from the Alexandria database.

abc: 16.0617 8.0608 8.0034
angles: 90.00 90.00 90.00
With the nearest neighbours (Å) after each atom.
Space group Cmce (No. 64)
One atom of each set of equivalent atoms:
Nd (0.0000, 0.0000, 0.0000) (multiplicity 4)  4 Si 3.16-3.18, 2 I 3.31
Nd (0.1204, 0.1681, 0.3318) (multiplicity 16)  3 Si 3.03-3.08, 3 I 3.28-3.38
Si (0.0000, 0.1266, 0.6263) (multiplicity 8)  1 Si 2.87, 8 Nd 3.03-3.18
I (0.2059, 0.0000, 0.0000) (multiplicity 8)  7 Nd 3.28-3.38

E_form (uncorrected) = -0.768 eV per atom


No. 7
The following is a GGA-PBE calculation of an optimized crystal structure of Nd3Si2I2, from the Alexandria database.

abc: 4.2260 7.4148 8.1326
angles: 81.04 89.90 73.65
With the nearest neighbours (Å) after each atom.
Space group P-1 (No. 2)
One atom of each set of equivalent atoms:
Nd (0.0000, 0.0000, 0.0000) (multiplicity 1)  4 Si 2.96-2.97, 2 I 3.32
Nd (0.2419, 0.5139, 0.7776) (multiplicity 2)  3 Si 2.94-2.97, 2 I 3.28
Si (0.3744, 0.2534, 0.0967) (multiplicity 2)  5 Nd 2.94-2.97
I (0.1229, 0.7571, 0.3846) (multiplicity 2)  4 Nd 3.28-3.38

E_form (uncorrected) = -0.749 eV per atom


No. 8
The following is a GGA-PBE calculation of an optimized crystal structure of Nd12Si5I3, from the Alexandria database.

abc: 17.7227 17.7227 17.7227
angles: 90.00 90.00 90.00
With the nearest neighbours (Å) after each atom.
Space group Ia-3d (No. 230)
One atom of each set of equivalent atoms:
Nd (0.0280, 0.0638, 0.6460) (multiplicity 96)  2 Si 2.76-2.87
Si (0.0000, 0.0000, 0.0000) (multiplicity 16)  6 Nd 2.87
Si (0.0000, 0.2500, 0.3750) (multiplicity 24)  4 Nd 2.76
I (0.0000, 0.2500, 0.1250) (multiplicity 24)  8 Nd 3.36-3.47

E_form (uncorrected) = -0.211 eV per atom


| no. | V (Å³/f.u.) | ρ (g/cm3) |
| --- | --- | --- |
| 1 | 235.5 | 4.9 |
| 2 | 376.2 | 5.5 |
| 3 | 128.5 | 3.9 |
| 4 | 125.5 | 5.9 |
| 5 | 313.3 | 5.4 |
| 6 | 259.0 | 6.6 |
| 7 | 241.3 | 5.1 |
| 8 | 695.8 | 5.4 |